[1]
CsIr2S2 | PBE-GGA | relaxed

Cell lengths 7.6655, 7.6655, 7.6655 Å; angles 150.16, 150.16, 42.71 degrees
Atoms (fractional coordinates):
Cs: 0.0000 0.0000 0.0000
Ir: 0.2500 0.7500 0.5000
Ir: 0.7500 0.2500 0.5000
S: 0.3457 0.3457 0.0000
S: 0.6543 0.6543 0.0000

Computed properties:
ΔE_f (raw)	-95	kJ/mol of formula units
M_tot	0.000	μB per formula unit
volume	22.25	Å³/atom

***

[2]
CsIrS3 | PBE-GGA | relaxed

Cell lengths 8.3142, 8.3142, 8.3142 Å; angles 46.55, 46.55, 46.55 degrees
Atoms (fractional coordinates):
Cs: 0.1157 0.1157 0.1157
Cs: 0.8843 0.8843 0.8843
Ir: 0.3337 0.3337 0.3337
Ir: 0.6663 0.6663 0.6663
S: 0.0625 0.5644 0.5644
S: 0.4356 0.4356 0.9375
S: 0.4356 0.9375 0.4356
S: 0.5644 0.0625 0.5644
S: 0.5644 0.5644 0.0625
S: 0.9375 0.4356 0.4356

Computed properties:
ΔE_f (raw)	-229	kJ/mol of formula units
M_tot	0.000	μB per formula unit
volume	27.67	Å³/atom

***

[3]
Cs4IrS4 | PBE-GGA | relaxed

Cell lengths 9.1439, 9.1439, 9.1439 Å; angles 128.86, 128.86, 75.24 degrees
Atoms (fractional coordinates):
Cs: 0.0000 0.5000 0.5000
Cs: 0.2004 0.2004 0.0000
Cs: 0.5000 0.0000 0.5000
Cs: 0.7996 0.7996 0.0000
Ir: 0.5000 0.5000 0.0000
S: 0.2425 0.5456 0.0000
S: 0.4544 0.4544 0.6969
S: 0.5456 0.2425 0.0000
S: 0.7575 0.7575 0.3031

Computed properties:
ΔE_f (raw)	-591	kJ/mol of formula units
M_tot	1.022	μB per formula unit
volume	50.14	Å³/atom

***

[4]
Cs2IrS | PBE-GGA | relaxed

Cell lengths 6.0021, 6.0021, 6.0021 Å; angles 60.00, 60.00, 60.00 degrees
Atoms (fractional coordinates):
Cs: 0.2500 0.2500 0.2500
Cs: 0.7500 0.7500 0.7500
Ir: 0.0000 0.0000 0.0000
S: 0.5000 0.5000 0.5000

Computed properties:
ΔE_f (raw)	288	kJ/mol of formula units
M_tot	3.026	μB per formula unit
volume	38.22	Å³/atom

***

[5]
CsIr2S3 | PBE-GGA | relaxed

Cell lengths 7.8740, 7.8740, 10.2270 Å; angles 90.00, 90.00, 152.83 degrees
Atoms (fractional coordinates):
Cs: 0.2463 0.7537 0.7500
Cs: 0.7537 0.2463 0.2500
Ir: 0.0305 0.9695 0.2500
Ir: 0.5000 0.5000 0.0000
Ir: 0.5000 0.5000 0.5000
Ir: 0.9695 0.0305 0.7500
S: 0.0977 0.9023 0.0487
S: 0.0977 0.9023 0.4513
S: 0.4446 0.5554 0.2500
S: 0.5554 0.4446 0.7500
S: 0.9023 0.0977 0.5487
S: 0.9023 0.0977 0.9513

Computed properties:
ΔE_f (raw)	-141	kJ/mol of formula units
M_tot	0.000	μB per formula unit
volume	24.13	Å³/atom

***

[6]
CsIrS2 | PBE-GGA | relaxed

Cell lengths 4.9338, 4.9338, 4.9338 Å; angles 60.00, 60.00, 60.00 degrees
Atoms (fractional coordinates):
Cs: 0.0000 0.0000 0.0000
Ir: 0.5000 0.5000 0.5000
S: 0.2500 0.2500 0.2500
S: 0.7500 0.7500 0.7500

Computed properties:
ΔE_f (raw)	343	kJ/mol of formula units
M_tot	0.000	μB per formula unit
volume	21.23	Å³/atom

***

- Which value of M_tot does entry 4 give?
  3.026 μB per formula unit